YLuPbC after structural relaxation, computed with PBE-GGA. Values from VASP.

```
&SYSTEM
  ibrav = 0, nat = 8, ntyp = 4
/
ATOMIC_SPECIES
Y 88.91 Y.upf
Lu 174.97 Lu.upf
Pb 207.20 Pb.upf
C 12.01 C.upf
CELL_PARAMETERS angstrom
3.605 0.000 0.000
-1.802 3.122 0.000
0.000 0.000 15.884
ATOMIC_POSITIONS crystal
Y 0.333 0.667 0.416
Y 0.667 0.333 0.584
Lu 0.333 0.667 0.080
Lu 0.667 0.333 0.920
Pb 0.333 0.667 0.754
Pb 0.667 0.333 0.246
C 0.000 0.000 0.000
C 0.000 0.000 0.500
```

Summary:
Its crystal system is trigonal. Its total energy is -6.51 eV/atom.

=====

YLuPbC after structural relaxation, computed with PBE-GGA. Values from VASP.

```
&SYSTEM
  ibrav = 0, nat = 8, ntyp = 4
/
ATOMIC_SPECIES
Y 88.91 Y.upf
Lu 174.97 Lu.upf
Pb 207.20 Pb.upf
C 12.01 C.upf
CELL_PARAMETERS angstrom
3.607 0.000 0.000
-1.803 3.124 0.000
0.000 0.000 15.896
ATOMIC_POSITIONS crystal
Y 0.333 0.667 0.000
Y 0.667 0.333 0.500
Lu 0.333 0.667 0.664
Lu 0.667 0.333 0.164
Pb 0.333 0.667 0.330
Pb 0.667 0.333 0.830
C 0.000 0.000 0.085
C 0.000 0.000 0.585
```

Summary:
Its crystal system is hexagonal. Its total energy is -6.51 eV/atom.

=====

Y2Lu4Pb3C3 after structural relaxation, computed with PBE-GGA. Values from VASP.

```
&SYSTEM
  ibrav = 0, nat = 24, ntyp = 4
/
ATOMIC_SPECIES
Y 88.91 Y.upf
Lu 174.97 Lu.upf
Pb 207.20 Pb.upf
C 12.01 C.upf
CELL_PARAMETERS angstrom
5.382 -3.108 0.000
5.382 3.108 0.000
-3.584 0.000 15.801
ATOMIC_POSITIONS crystal
Y 0.028 0.863 0.585
Y 0.137 0.972 0.915
Y 0.863 0.028 0.085
Y 0.972 0.137 0.415
Lu 0.193 0.359 0.080
Lu 0.306 0.474 0.420
Lu 0.359 0.193 0.580
Lu 0.474 0.306 0.920
Lu 0.526 0.694 0.080
Lu 0.641 0.807 0.420
Lu 0.694 0.526 0.580
Lu 0.807 0.641 0.920
Pb 0.083 0.260 0.750
Pb 0.260 0.083 0.250
Pb 0.426 0.574 0.750
Pb 0.574 0.426 0.250
Pb 0.740 0.917 0.750
Pb 0.917 0.740 0.250
C 0.000 0.500 0.500
C 0.170 0.661 0.000
C 0.339 0.830 0.500
C 0.500 0.000 0.000
C 0.661 0.170 0.500
C 0.830 0.339 0.000
```

Summary:
Its crystal system is monoclinic. Its total energy is -6.35 eV/atom.

=====

YLuPbC after structural relaxation, computed with PBE-GGA. Values from VASP.

```
&SYSTEM
  ibrav = 0, nat = 8, ntyp = 4
/
ATOMIC_SPECIES
Y 88.91 Y.upf
Lu 174.97 Lu.upf
Pb 207.20 Pb.upf
C 12.01 C.upf
CELL_PARAMETERS angstrom
3.602 0.000 0.000
-1.801 3.119 0.000
0.000 0.000 15.888
ATOMIC_POSITIONS crystal
Y 0.000 0.000 0.168
Y 0.000 0.000 0.832
Lu 0.667 0.333 0.333
Lu 0.667 0.333 0.667
Pb 0.000 0.000 0.500
Pb 0.667 0.333 0.000
C 0.333 0.667 0.254
C 0.333 0.667 0.746
```

Summary:
Its crystal system is hexagonal. Its total energy is -6.51 eV/atom.